This record from Alexandria via LeMat-Bulk describes a relaxed CsBa2GeAs crystal. The functional is GGA-PBE.

## Properties
The formation energy is -0.17 eV per atom.

POSCAR file:
```
CsBa2GeAs
1.0
6.3869 0.0000 0.0000
0.0000 5.5054 0.0000
0.0000 0.0000 6.3869
Cs As Ge Ba
1 1 1 2
Cartesian
3.1934 2.7527 3.1934
0.0000 0.0000 0.0000
0.0000 2.7527 0.0000
0.0000 0.0000 3.1934
3.1934 0.0000 0.0000
```

This record from Alexandria via LeMat-Bulk describes a relaxed CsBaHgAs crystal. The functional is GGA-PBE.

## Properties
The formation energy is -0.52 eV per atom.

POSCAR file:
```
CsBaHgAs
1.0
-0.6873 -0.6393 -5.8641
4.7367 -0.9202 -3.4620
0.8445 -5.3073 -2.5275
Cs As Hg Ba
1 1 1 1
Cartesian
3.6705 -5.1501 -8.8902
0.0000 0.0000 0.0000
2.4470 -3.4334 -5.9268
1.2235 -1.7167 -2.9634
```

This record from Alexandria via LeMat-Bulk describes a relaxed CsBaAs2I crystal. The functional is GGA-PBE.

## Properties
The formation energy without anion corrections comes out at 2.8 eV per formula unit.

POSCAR file:
```
CsBaAs2I
1.0
5.6030 0.0000 0.0000
0.0000 7.5240 0.0000
0.0000 0.0000 5.6030
Cs I As Ba
1 1 2 1
Cartesian
0.0000 0.0000 0.0000
2.8015 3.7620 2.8015
0.0000 0.0000 2.8015
2.8015 0.0000 0.0000
0.0000 3.7620 0.0000
```

This record from Alexandria via LeMat-Bulk describes a relaxed CsBaNa2As crystal. The functional is GGA-PBE.

## Properties
The formation energy is -0.25 eV per atom.

POSCAR file:
```
CsBaNa2As
1.0
6.0812 0.0000 0.0000
0.0000 6.0812 0.0000
0.0000 0.0000 6.4478
Cs Na As Ba
1 2 1 1
Cartesian
3.0406 3.0406 3.2239
0.0000 3.0406 0.0000
3.0406 0.0000 0.0000
0.0000 0.0000 0.0000
0.0000 0.0000 3.2239
```

This record from Alexandria via LeMat-Bulk describes a relaxed CsBaAs2O6 crystal. The functional is GGA-PBE.

## Properties
The formation energy without anion corrections comes out at -16.8 eV per formula unit.

POSCAR file:
```
CsBaAs2O6
1.0
8.0186 0.3482 0.7096
-0.6361 8.0009 0.7096
-1.3601 -1.5382 5.9621
Cs Ba As O
2 2 4 12
Cartesian
0.5862 6.2350 2.2002
5.4363 0.5760 5.1812
4.3913 2.8704 2.2002
1.6311 3.9406 5.1812
1.2060 0.0445 4.9783
5.4459 4.8396 5.3841
4.8165 6.7665 2.4030
0.5765 1.9714 1.9973
7.0527 2.9390 2.3264
4.6491 0.2206 2.0739
-1.0303 3.8720 5.0550
1.3734 6.5904 5.3075
1.2979 1.2554 0.4175
5.6155 6.1382 3.9828
4.7245 5.5556 6.9638
0.4070 0.6728 3.3986
1.6740 3.1687 2.5762
3.7626 5.5307 1.8241
4.3484 3.6423 4.8051
2.2598 1.2803 5.5573
```

This record from Alexandria via LeMat-Bulk describes a relaxed CsBa2As2O6 crystal. The functional is GGA-PBE.

## Properties
The formation energy without anion corrections comes out at -20.8 eV per formula unit.

POSCAR file:
```
CsBa2As2O6
1.0
-4.9381 -0.7893 -4.6371
-0.3975 -6.0383 -2.9182
-5.3567 0.1769 4.5014
Cs Ba As O
1 2 2 6
Cartesian
-5.1474 -0.3062 -0.0679
-8.6557 -2.5424 -1.2412
-2.0365 -4.1084 -1.8126
-5.3082 -3.8051 -0.0895
-5.3841 -2.8456 -2.9644
-6.9920 -4.3066 0.0104
-5.6848 -3.5444 -4.5775
-4.2881 -5.2099 -0.3114
-5.0075 -3.1063 1.5236
-6.4042 -1.4408 -2.7425
-3.7003 -2.3441 -3.0642
```

This record from Alexandria via LeMat-Bulk describes a relaxed Cs3BaAs2S6 crystal. The functional is GGA-PBE.

## Properties
The formation energy without anion corrections comes out at -10.8 eV per formula unit.

POSCAR file:
```
Cs3BaAs2S6
1.0
7.7699 0.0000 0.0000
-3.8849 6.7289 0.0000
0.0000 0.0000 9.3096
Cs Ba As S
3 1 2 6
Cartesian
0.0000 4.4859 5.9777
3.8849 2.2430 3.3319
0.0000 0.0000 0.0000
0.0000 0.0000 4.6548
3.8849 2.2430 7.3736
0.0000 4.4859 1.9360
1.8002 5.5253 2.7384
0.0000 2.4072 2.7384
-1.8002 5.5253 2.7384
3.8849 4.3217 6.5712
2.0847 1.2036 6.5712
5.6852 1.2036 6.5712
```

This record from Alexandria via LeMat-Bulk describes a relaxed CsBa2As2S6 crystal. The functional is GGA-PBE.

## Properties
The formation energy without anion corrections comes out at -11.1 eV per formula unit.

POSCAR file:
```
CsBa2As2S6
1.0
-0.9395 -5.5197 4.7715
4.7762 -2.5981 3.6006
-1.4540 6.0376 6.6800
Cs Ba As S
1 2 2 6
Cartesian
-1.1968 0.2589 5.7257
-0.5678 -0.2752 10.8910
2.9504 -1.8051 4.1610
1.5927 1.6725 7.9237
0.7900 -3.7528 7.1283
2.2190 1.1095 10.0291
0.6777 -0.2372 2.4861
2.7285 0.3015 6.5615
1.7050 -1.8431 12.5659
-0.3459 -2.3817 8.4905
0.1637 -3.1898 5.0229
```

Number 8 is which compound? CsBa2As2S6

What is the formula in the fifth record? CsBaAs2O6